The following is a PBE-GGA calculation of crystalline Bi2AsCF at its relaxed geometry, from Alexandria.

Values from the calculation:
Magnetization in μB/f.u.: 0.000
Uncorrected formation energy in eV/atom: 0.5019

a b c (Å): 5.131 5.131 4.014
angles (deg): 90.00 90.00 90.00
Space group P4/mmm (No. 123)
Unique sites:
Bi: 0.000 0.500 0.000 x2
As: 0.000 0.000 0.500 x1
C: 0.000 0.000 0.000 x1
F: 0.500 0.500 0.500 x1